# 1
Below is TbSm2H8 after structural relaxation, with properties calculated at the PBE level.

Summary:
DOS at the Fermi energy = 1.44 states/eV/f.u.
Calculated total energy = -4.32 eV/atom

a = 3.7419 Å, b = 5.2301 Å, c = 11.2124 Å
α = 90.00°, β = 90.00°, γ = 90.00°
Space group Immm (No. 71)
Asymmetric unit:
Tb (0.0000, 0.0000, 0.0000)
Sm (0.0000, 0.0000, 0.3315)
H (0.0000, 0.2382, 0.5000)
H (0.0000, 0.2574, 0.1580)
H (0.0000, 0.5000, 0.3391)

=====

# 2
Below is Hf3ScNi2 after structural relaxation, with properties calculated at the PBE level.

Summary:
Energy relative to the elements = -0.350 eV/atom
DOS at the Fermi energy = 3.61 states/eV/f.u.
Calculated total energy = -8.31 eV/atom

a = 4.4722 Å, b = 7.7986 Å, c = 6.3665 Å
α = 90.00°, β = 90.00°, γ = 90.00°
Space group Pmc2_1 (No. 26)
Asymmetric unit:
Hf (0.0000, 0.0738, 0.0000)
Hf (0.0000, 0.3360, 0.3609)
Hf (0.5000, 0.1671, 0.6637)
Sc (0.5000, 0.4265, 0.0277)
Ni (0.0000, 0.3382, 0.7577)
Ni (0.5000, 0.1556, 0.2667)

=====

# 3
Below is KHfCuS3 after structural relaxation, with properties calculated at the PBE level.

Summary:
Calculated total energy = -5.87 eV/atom
Raw formation energy = -7.7 eV per formula unit

a = 8.4907 Å, b = 3.7518 Å, c = 9.1452 Å
α = 90.00°, β = 111.42°, γ = 90.00°
Space group P2_1/m (No. 11)
Asymmetric unit:
K (0.2207, 0.2500, 0.2549)
Hf (0.3155, 0.7500, 0.8358)
Cu (0.0840, 0.2500, 0.6007)
S (0.1229, 0.2500, 0.8637)
S (0.2201, 0.7500, 0.5442)
S (0.4665, 0.7500, 0.1459)

=====

# 4
Below is BeHgW2 after structural relaxation, with properties calculated at the PBE level.

Summary:
Energy relative to the elements = 0.725 eV/atom
Polymorph energy (0 for the lowest one) = 0.282 eV per atom
DOS at the Fermi energy = 1.18 states/eV/f.u.
Calculated total energy = -6.76 eV/atom

a = 5.3243 Å, b = 8.6958 Å, c = 2.7387 Å
α = 90.00°, β = 90.00°, γ = 90.00°
Space group Cmmm (No. 65)
Asymmetric unit:
Be (0.0000, 0.0000, 0.0000)
Hg (0.0000, 0.5000, 0.0000)
W (0.2500, 0.2500, 0.5000)